# 1
First-principles (GGA-PBE) data for SrOsCl after structural relaxation, as listed in Alexandria.

a b c (Å): 4.8541 4.8541 4.8541
angles (deg): 60.00 60.00 60.00
Last column: nearest neighbours and their distance in Å.
Fractional coordinates of all 3 atoms:
Cl1 0.7500 0.7500 0.7500  4 Os 2.97, 4 Sr 2.97
Sr1 0.5000 0.5000 0.5000  4 Cl 2.97
Os1 0.0000 0.0000 0.0000  4 Cl 2.97

Results
Energy above the most stable polymorph in this dataset: 0.3447 eV/atom
Formation energy without anion corrections: 0.75 eV per atom



# 2
First-principles (GGA-PBE) data for SrOsCl2 after structural relaxation, as listed in Alexandria.

a b c (Å): 4.0852 3.3438 8.2478
angles (deg): 78.79 90.00 90.00
Last column: nearest neighbours and their distance in Å.
Fractional coordinates of all 4 atoms:
Os1 0.0000 0.3271 0.4644  2 Cl 2.19
Cl1 0.5000 0.3730 0.3684  2 Os 2.19
Sr1 0.5000 0.6933 0.7430  4 Cl 3.02, 2 Sr 3.34
Cl2 0.0000 0.1066 0.9242  4 Sr 3.02, 2 Cl 3.34

Results
Energy above the most stable polymorph in this dataset: 0.1060 eV/atom
Formation energy without anion corrections: -0.30 eV per atom



# 3
First-principles (GGA-PBE) data for SrOsCl2 after structural relaxation, as listed in Alexandria.

a b c (Å): 6.3943 6.3943 4.4617
angles (deg): 86.41 86.41 36.56
Last column: nearest neighbours and their distance in Å.
Fractional coordinates of all 4 atoms:
Cl1 0.7568 0.7568 0.7554  4 Sr 3.00-3.02
Cl2 0.9974 0.9974 0.1355  2 Os 2.22
Sr1 0.2403 0.2403 0.2614  5 Cl 3.00-3.04, 1 Os 3.27
Os1 0.5056 0.5056 0.3476  2 Cl 2.22

Results
Energy above the most stable polymorph in this dataset: 0.2055 eV/atom
Formation energy without anion corrections: -0.20 eV per atom